Entry 1:
VASP calculation (PBE-GGA) on a geometry-optimized SrWCl2 structure.

Structure (POSCAR):
```
SrWCl2
1.0
3.364 0.000 0.000
0.000 3.364 0.000
0.000 0.000 11.027
Sr W Cl
1 1 2
Direct
0.000 0.000 0.000
0.000 0.000 0.500
0.500 0.500 0.154
0.500 0.500 0.846
```

Output
The total energy is -18.17 eV/cell. As for the energy above the most stable polymorph in this dataset: 0.262 eV/atom. For the formation energy (no corrections), the calculation gives 0.039 eV/atom.


Entry 2:
VASP calculation (PBE-GGA) on a geometry-optimized Sr2WCl structure.

Structure (POSCAR):
```
Sr2WCl
1.0
-1.996 3.572 4.873
1.996 -3.572 4.873
1.996 3.572 -4.873
Sr W Cl
2 1 1
Direct
0.221 0.221 0.000
0.779 0.779 0.000
0.500 0.000 0.500
0.000 0.500 0.500
```

Output
The total energy is -16.12 eV/cell. As for the energy above the most stable polymorph in this dataset: 0.483 eV/atom. For the formation energy (no corrections), the calculation gives 0.511 eV/atom.


Entry 3:
VASP calculation (PBE-GGA) on a geometry-optimized Sr2WCl structure.

Structure (POSCAR):
```
Sr2WCl
1.0
3.343 0.000 0.000
0.000 3.343 0.000
0.000 0.000 11.577
Sr W Cl
2 1 1
Direct
0.000 0.000 0.000
0.500 0.500 0.327
0.000 0.000 0.522
0.500 0.500 0.859
```

Output
The total energy is -16.05 eV/cell. As for the energy above the most stable polymorph in this dataset: 0.500 eV/atom. For the formation energy (no corrections), the calculation gives 0.528 eV/atom.


Entry 4:
VASP calculation (PBE-GGA) on a geometry-optimized SrWCl2 structure.

Structure (POSCAR):
```
SrWCl2
1.0
-1.627 2.890 5.044
1.627 -2.890 5.044
1.627 2.890 -5.044
Sr W Cl
1 1 2
Direct
0.000 0.000 0.000
0.500 0.500 0.000
0.315 0.815 0.500
0.685 0.185 0.500
```

Output
The total energy is -18.78 eV/cell. As for the energy above the most stable polymorph in this dataset: 0.110 eV/atom. For the formation energy (no corrections), the calculation gives -0.113 eV/atom.


Entry 5:
VASP calculation (PBE-GGA) on a geometry-optimized SrWCl2 structure.

Structure (POSCAR):
```
SrWCl2
1.0
4.879 0.000 0.000
0.000 4.879 0.000
0.000 0.000 3.400
Sr W Cl
1 1 2
Direct
0.000 0.000 0.000
0.500 0.500 0.000
0.000 0.500 0.500
0.500 0.000 0.500
```

Output
The total energy is -17.36 eV/cell. As for the energy above the most stable polymorph in this dataset: 0.464 eV/atom. For the formation energy (no corrections), the calculation gives 0.241 eV/atom.


Entry 6:
VASP calculation (PBE-GGA) on a geometry-optimized Sr4WCl structure.

Structure (POSCAR):
```
Sr4WCl
1.0
0.000 5.099 5.099
5.099 0.000 5.099
5.099 5.099 0.000
Sr W Cl
4 1 1
Direct
0.124 0.124 0.124
0.124 0.124 0.628
0.124 0.628 0.124
0.628 0.124 0.124
0.750 0.750 0.750
0.500 0.500 0.500
```

Output
The total energy is -15.44 eV/cell. For the formation energy (no corrections), the calculation gives 1.015 eV/atom.


Entry 7:
VASP calculation (PBE-GGA) on a geometry-optimized Sr2W2Cl structure.

Structure (POSCAR):
```
Sr2W2Cl
1.0
-3.149 3.149 4.022
3.149 -3.149 4.022
3.149 3.149 -4.022
Sr W Cl
2 2 1
Direct
0.250 0.750 0.500
0.750 0.250 0.500
0.138 0.138 0.000
0.862 0.862 0.000
0.500 0.500 0.000
```

Output
The total energy is -25.77 eV/cell. As for the energy above the most stable polymorph in this dataset: 0.341 eV/atom. For the formation energy (no corrections), the calculation gives 1.069 eV/atom.


Entry 8:
VASP calculation (PBE-GGA) on a geometry-optimized Sr2WCl structure.

Structure (POSCAR):
```
Sr2WCl
1.0
0.000 3.996 3.996
3.996 0.000 3.996
3.996 3.996 0.000
Sr W Cl
2 1 1
Direct
0.250 0.250 0.250
0.750 0.750 0.750
0.000 0.000 0.000
0.500 0.500 0.500
```

Output
The total energy is -15.87 eV/cell. As for the energy above the most stable polymorph in this dataset: 0.545 eV/atom. For the formation energy (no corrections), the calculation gives 0.573 eV/atom.


Entry 9:
VASP calculation (PBE-GGA) on a geometry-optimized SrWCl2 structure.

Structure (POSCAR):
```
SrWCl2
1.0
-2.532 2.532 7.953
2.532 -2.532 7.953
2.532 2.532 -7.953
Sr W Cl
2 2 4
Direct
0.000 0.000 0.000
0.750 0.250 0.500
0.250 0.750 0.500
0.500 0.500 0.000
0.207 0.625 0.082
0.375 0.457 0.582
0.543 0.125 0.918
0.875 0.793 0.418
```

Output
The total energy is -36.18 eV/cell. As for the energy above the most stable polymorph in this dataset: 0.283 eV/atom. For the formation energy (no corrections), the calculation gives 0.060 eV/atom.


Entry 10:
VASP calculation (PBE-GGA) on a geometry-optimized SrWCl2 structure.

Structure (POSCAR):
```
SrWCl2
1.0
3.242 0.000 0.000
0.000 3.242 0.000
0.000 0.000 9.149
Sr W Cl
1 1 2
Direct
0.000 0.000 0.000
0.500 0.500 0.287
0.000 0.000 0.425
0.500 0.500 0.809
```

Output
The total energy is -19.22 eV/cell. As for the energy above the most stable polymorph in this dataset: 0.000 eV/atom. For the formation energy (no corrections), the calculation gives -0.223 eV/atom.


Entry 11:
VASP calculation (PBE-GGA) on a geometry-optimized Sr2WCl structure.

Structure (POSCAR):
```
Sr2WCl
1.0
-2.240 2.240 6.644
2.240 -2.240 6.644
2.240 2.240 -6.644
Sr W Cl
2 1 1
Direct
0.000 0.000 0.000
0.750 0.250 0.500
0.250 0.750 0.500
0.500 0.500 0.000
```

Output
The total energy is -15.98 eV/cell. As for the energy above the most stable polymorph in this dataset: 0.518 eV/atom. For the formation energy (no corrections), the calculation gives 0.546 eV/atom.


Entry 12:
VASP calculation (PBE-GGA) on a geometry-optimized SrWCl2 structure.

Structure (POSCAR):
```
SrWCl2
1.0
3.465 -4.482 0.000
3.465 4.482 0.000
-1.902 0.000 3.171
Sr W Cl
1 1 2
Direct
0.000 0.000 0.000
0.500 0.500 0.000
0.000 0.500 0.000
0.500 0.000 0.000
```

Output
The total energy is -18.03 eV/cell. As for the energy above the most stable polymorph in this dataset: 0.298 eV/atom. For the formation energy (no corrections), the calculation gives 0.075 eV/atom.


Question: Which value of formation energy (no corrections) does entry 9 give?
Answer: 0.060 eV/atom


Question: Number 4 is which compound?
Answer: SrWCl2


Question: The highest formation energy (no corrections) belongs to which entry?
Answer: Sr2W2Cl


Question: What is the formation energy (no corrections) in the second record?
Answer: 0.511 eV/atom